No. 1
Material: Dy2HoFe2
Method: DFT, PBE
State: relaxed

Output
Energy of formation from the pure elements ... 0.013 eV/atom

Cell lengths 6.7918, 6.7918, 9.4329 Å; angles 109.49, 109.49, 32.95 degrees
Last column: nearest neighbours and their distance in Å.
Positions (direct):
1 Fe 0.7273 0.7273 0.7384  1 Fe 2.27
2 Fe 0.2727 0.2727 0.2616  1 Fe 2.27
3 Fe 0.4581 0.4581 0.3652  2 Fe 2.27-2.39
4 Fe 0.5419 0.5419 0.6348  2 Fe 2.27-2.39
5 Ho 0.3905 0.3905 0.8225  3 Fe 2.77-3.07
6 Ho 0.6095 0.6095 0.1775  3 Fe 2.77-3.07
7 Dy 0.1356 0.1356 0.4942  6 Fe 2.84-2.93
8 Dy 0.8644 0.8644 0.5058  6 Fe 2.84-2.93
9 Dy 0.8649 0.8649 0.1236  4 Fe 2.82-2.91
10 Dy 0.1351 0.1351 0.8764  4 Fe 2.82-2.91



No. 2
Material: ErAl4GaIr
Method: DFT, PBE
State: relaxed

Output
E ... -35.92 eV/cell

Cell lengths 4.2792, 4.2792, 6.8935 Å; angles 90.00, 90.00, 90.00 degrees
Last column: nearest neighbours and their distance in Å.
Positions (direct):
1 Al 0.5000 0.0000 0.3037  2 Ir 2.53, 1 Al 2.71
2 Al 0.0000 0.5000 0.6963  2 Ir 2.53, 1 Al 2.71
3 Al 0.5000 0.0000 0.6963  2 Ir 2.53, 1 Al 2.71
4 Al 0.0000 0.5000 0.3037  2 Ir 2.53, 1 Al 2.71
5 Ir 0.0000 0.0000 0.5000  8 Al 2.53
6 Er 0.0000 0.0000 0.0000  8 Al 2.99, 4 Ga 3.03
7 Ga 0.5000 0.5000 0.0000  8 Al 2.99, 4 Er 3.03



No. 3
Material: YCdGaFe
Method: DFT, PBE
State: relaxed

Output
Energy relative to the lowest polymorph listed for this composition ... 0 meV/atom

Cell lengths 4.7949, 4.7949, 4.7949 Å; angles 60.00, 60.00, 60.00 degrees
Last column: nearest neighbours and their distance in Å.
Positions (direct):
1 Cd 0.5000 0.5000 0.5000  4 Fe 2.94, 4 Y 2.94
2 Y 0.2500 0.2500 0.2500  4 Ga 2.94, 4 Cd 2.94
3 Fe 0.7500 0.7500 0.7500  4 Cd 2.94, 4 Ga 2.94
4 Ga 0.0000 0.0000 0.0000  4 Y 2.94, 4 Fe 2.94